Material: GdCoSO
Method: DFT, PBE with a Hubbard U
State: optimized geometry

Structure (extended XYZ):
```
32
Lattice="6.9005 0.0000 0.0000 0.0000 6.9711 0.0000 0.0000 0.0000 10.8443" Properties=species:S:1:pos:R:3 pbc="T T T"
Gd 0.7947 0.5441 2.1200
Gd 0.7947 2.9415 7.5421
Gd 2.6555 4.0296 2.1200
Gd 2.6555 6.4270 7.5421
Gd 4.2450 0.5441 3.3022
Gd 4.2450 2.9415 8.7243
Gd 6.1058 4.0296 3.3022
Gd 6.1058 6.4270 8.7243
Co 0.3185 4.7579 0.3647
Co 0.3185 5.6988 5.7869
Co 3.1318 1.2723 0.3647
Co 3.1318 2.2132 5.7869
Co 3.7687 4.7579 5.0574
Co 3.7687 5.6988 10.4796
Co 6.5820 1.2723 5.0574
Co 6.5820 2.2132 10.4796
S 1.6307 3.8518 4.9132
S 1.6307 6.6049 10.3354
S 1.8195 0.3662 4.9132
S 1.8195 3.1193 10.3354
S 5.0810 3.8518 0.5089
S 5.0810 6.6049 5.9311
S 5.2698 0.3662 0.5089
S 5.2698 3.1193 5.9311
O 0.7857 5.1699 7.7589
O 0.7857 5.2867 2.3367
O 2.6645 1.6844 7.7589
O 2.6645 1.8012 2.3367
O 4.2360 5.1699 8.5076
O 4.2360 5.2867 3.0854
O 6.1148 1.6844 8.5076
O 6.1148 1.8012 3.0854
```

## Properties
- relative energy among the computed polymorphs (meV per atom) = 0.4